Record 1
Compound: In9Pb4S17
Source: Alexandria via LeMat-Bulk
Functional: GGA-PBE
Structure: relaxed

Structure (POSCAR):
```
In9Pb4S17
1.0
-1.341 -2.969 2.126
5.336 -10.031 -10.645
20.047 -1.109 11.094
In S Pb
18 34 8
Direct
0.500 0.563 0.638
0.000 0.050 0.577
0.000 0.836 0.264
0.500 0.268 0.608
0.500 0.937 0.138
0.000 0.336 0.236
0.000 0.500 0.500
0.000 0.550 0.923
0.000 0.450 0.077
0.000 0.164 0.736
0.000 0.664 0.764
0.500 0.232 0.108
0.500 0.437 0.362
0.000 0.950 0.423
0.500 0.063 0.862
0.500 0.732 0.392
0.500 0.768 0.892
0.000 0.000 0.000
0.000 0.288 0.039
0.000 0.604 0.129
0.000 0.871 0.072
0.500 0.500 0.000
0.000 0.482 0.289
0.500 0.932 0.933
0.000 0.396 0.871
0.000 0.788 0.461
0.500 0.605 0.845
0.000 0.629 0.572
0.000 0.129 0.928
0.000 0.212 0.539
0.500 0.395 0.155
0.000 0.518 0.711
0.500 0.105 0.655
0.500 0.432 0.567
0.500 0.215 0.805
0.500 0.785 0.195
0.000 0.693 0.319
0.500 0.715 0.695
0.500 0.000 0.500
0.000 0.104 0.371
0.000 0.018 0.789
0.000 0.371 0.428
0.500 0.068 0.067
0.000 0.307 0.681
0.000 0.896 0.629
0.000 0.712 0.961
0.000 0.807 0.819
0.000 0.982 0.211
0.000 0.193 0.181
0.500 0.895 0.345
0.500 0.568 0.433
0.500 0.285 0.305
0.500 0.899 0.721
0.500 0.790 0.567
0.500 0.399 0.779
0.500 0.710 0.067
0.500 0.601 0.221
0.500 0.210 0.433
0.500 0.101 0.279
0.500 0.290 0.933
```

* symmetry: Pbam (55)
* ΔE_f (raw): -0.53 eV per atom

=====

Record 2
Compound: Y2TlIr
Source: Alexandria via LeMat-Bulk
Functional: GGA-PBE
Structure: relaxed

Structure (POSCAR):
```
Y2TlIr
1.0
0.508 -4.481 2.391
-2.983 -3.935 -1.293
1.983 -4.001 -2.472
Y Tl Ir
2 1 1
Direct
0.750 0.750 0.750
0.250 0.250 0.250
0.500 0.500 0.500
0.000 0.000 0.000
```

* symmetry: Fm-3m (225)
* relative energy among the computed polymorphs: 0.45 eV per formula unit
* ΔH_f (0 K): -0.493 eV/atom

=====

Record 3
Compound: NaAs2O2
Source: Alexandria via LeMat-Bulk
Functional: GGA-PBE
Structure: relaxed

Structure (POSCAR):
```
NaAs2O2
1.0
-0.304 -4.288 0.409
1.056 -0.472 -4.160
4.944 -2.590 -0.692
Na As O
1 2 2
Direct
0.000 0.000 0.000
0.305 0.305 0.391
0.695 0.695 0.609
0.250 0.750 0.500
0.750 0.250 0.500
```

* symmetry: I4/mmm (139)
* relative energy among the computed polymorphs: 0.64 eV per formula unit
* ΔE_f (raw): -0.32 eV per atom

=====

Record 4
Compound: PuPa3Te6
Source: Alexandria via LeMat-Bulk
Functional: GGA-PBE
Structure: relaxed

Structure (POSCAR):
```
PuPa3Te6
1.0
4.231 0.000 0.000
0.000 12.533 -0.064
0.000 -4.250 12.283
Te Pu Pa
12 2 6
Direct
0.750 0.376 0.057
0.250 0.262 0.720
0.750 0.902 0.112
0.250 0.191 0.248
0.250 0.098 0.888
0.750 0.121 0.466
0.750 0.738 0.280
0.750 0.498 0.629
0.250 0.502 0.371
0.250 0.624 0.943
0.750 0.809 0.752
0.250 0.879 0.534
0.750 0.048 0.692
0.250 0.952 0.308
0.750 0.681 0.502
0.750 0.438 0.844
0.250 0.875 0.933
0.250 0.319 0.498
0.750 0.125 0.067
0.250 0.562 0.156
```

* symmetry: P2_1/m (11)
* ΔE_f (raw): -0.79 eV per atom

=====

Record 5
Compound: YGe3Pb
Source: Alexandria via LeMat-Bulk
Functional: GGA-PBE
Structure: relaxed

Structure (POSCAR):
```
YGe3Pb
1.0
5.398 0.000 0.000
0.000 5.398 0.000
0.000 0.000 5.398
Y Ge Pb
1 3 1
Direct
0.000 0.000 0.000
0.000 0.500 0.000
0.000 0.000 0.500
0.500 0.000 0.000
0.500 0.500 0.500
```

* symmetry: Pm-3m (221)
* relative energy among the computed polymorphs: 0.00 eV per formula unit
* ΔH_f (0 K): 0.532 eV/atom

=====

Record 6
Compound: Nd4ReI5
Source: Alexandria via LeMat-Bulk
Functional: GGA-PBE
Structure: relaxed

Structure (POSCAR):
```
Nd4ReI5
1.0
-3.968 -0.713 -1.230
3.245 -4.714 -7.732
1.114 -6.732 7.529
Nd I Re
4 5 1
Direct
0.000 0.221 0.001
0.000 0.779 0.999
0.362 0.929 0.724
0.638 0.071 0.276
0.167 0.331 0.335
0.170 0.837 0.341
0.500 0.500 0.000
0.830 0.163 0.659
0.833 0.669 0.665
0.500 0.000 0.000
```

* symmetry: C2/m (12)
* ΔE_f (raw): -0.94 eV per atom

=====

Record 7
Compound: ScRhAu
Source: Alexandria via LeMat-Bulk
Functional: GGA-PBE
Structure: relaxed

Structure (POSCAR):
```
ScRhAu
1.0
-4.056 -0.025 -1.768
-3.496 -1.054 2.499
-2.927 3.117 1.136
Sc Au Rh
1 1 1
Direct
0.000 0.000 0.000
0.500 0.500 0.500
0.750 0.750 0.750
```

* symmetry: F-43m (216)
* relative energy among the computed polymorphs: 0.84 eV per formula unit
* ΔH_f (0 K): -0.430 eV/atom

=====

Record 8
Compound: Pu2ZrCd
Source: Alexandria via LeMat-Bulk
Functional: GGA-PBE
Structure: relaxed

Structure (POSCAR):
```
Pu2ZrCd
1.0
4.983 0.000 0.000
0.000 4.384 0.000
0.000 0.000 4.384
Zr Pu Cd
1 2 1
Direct
0.500 0.000 0.000
0.000 0.000 0.500
0.000 0.500 0.000
0.500 0.500 0.500
```

* symmetry: P4/mmm (123)
* relative energy among the computed polymorphs: 0.00 eV per formula unit
* ΔH_f (0 K): 0.093 eV/atom

=====

Record 9
Compound: TaTeRu2
Source: Alexandria via LeMat-Bulk
Functional: GGA-PBE
Structure: relaxed

Structure (POSCAR):
```
TaTeRu2
1.0
8.558 -0.004 -0.002
7.984 3.080 -0.002
7.984 1.485 2.699
Ru Ta Te
2 1 1
Direct
0.994 0.994 0.994
0.506 0.506 0.506
0.250 0.250 0.250
0.750 0.750 0.750
```

* symmetry: R-3m (166)
* ΔE_f (raw): 0.11 eV per atom

=====

Record 10
Compound: Cs2YF
Source: Alexandria via LeMat-Bulk
Functional: GGA-PBE
Structure: relaxed

Structure (POSCAR):
```
Cs2YF
1.0
5.732 3.417 0.250
0.488 5.425 3.864
3.746 -0.162 5.526
Cs Y F
2 1 1
Direct
0.250 0.250 0.250
0.750 0.750 0.750
0.500 0.500 0.500
0.000 0.000 0.000
```

* symmetry: Fm-3m (225)
* relative energy among the computed polymorphs: 2.31 eV per formula unit
* ΔE_f (raw): -0.04 eV per atom

=====

> What is the formula in the third record?

NaAs2O2